Computed, not measured: a relaxed BaAc2CrO6 crystal at the GGA+U level of DFT.

a = 5.727 Å, b = 5.727 Å, c = 5.781 Å
α = 90.00°, β = 90.00°, γ = 90.00°
Fractional positions:
Ba: 0.000 0.000 0.000
Ac: 0.000 0.500 0.454
Ac: 0.500 0.000 0.454
Cr: 0.500 0.500 0.097
O: 0.000 0.000 0.564
O: 0.277 0.277 0.216
O: 0.277 0.723 0.216
O: 0.500 0.500 0.784
O: 0.723 0.277 0.216
O: 0.723 0.723 0.216

Results
Symmetry = P4mm (99)
Fermi-level density of states = 0.718 states/eV per atom
Calculated volume = 190 Å³ per cell
DFT total energy = -72.41 eV per cell
Crystal system = tetragonal